LaCd2Pb2 | PBE | relaxed

a b c (Å): 8.777 8.777 3.760
angles (deg): 90.00 90.00 90.00
Positions (direct):
1 Pb 0.361 0.861 0.000
2 Pb 0.861 0.639 0.000
3 Pb 0.639 0.139 0.000
4 Pb 0.139 0.361 0.000
5 Cd 0.158 0.658 0.500
6 Cd 0.658 0.842 0.500
7 Cd 0.842 0.342 0.500
8 Cd 0.342 0.158 0.500
9 La 0.000 0.000 0.000
10 La 0.500 0.500 0.000

Computed properties:
Energy relative to the lowest polymorph listed for this composition   17.7 kJ/mol of atoms
Symmetry   P4/mbm (127)
ΔE_f   -0.1395 eV/atom

=====

Ba2PuSe2O2 | PBE | relaxed

a b c (Å): 4.512 4.512 9.078
angles (deg): 104.39 104.39 90.00
Positions (direct):
1 Ba 0.367 0.368 0.735
2 Ba 0.633 0.632 0.265
3 Pu 0.000 0.000 0.000
4 Se 0.169 0.169 0.338
5 Se 0.831 0.831 0.662
6 O 0.000 0.500 0.000
7 O 0.500 0.000 0.000

Computed properties:
E_form (uncorrected)   -2383 meV/atom
Symmetry   I4/mmm (139)

=====

CdCo | PBE | relaxed

a b c (Å): 4.186 4.186 4.186
angles (deg): 60.00 60.00 60.00
Positions (direct):
1 Cd 0.000 0.000 0.000
2 Co 0.250 0.250 0.250

Computed properties:
Symmetry   F-43m (216)
ΔE_f   1.4332 eV/atom

=====

Na2CaPuTe4 | PBE | relaxed

a b c (Å): 4.523 7.762 7.910
angles (deg): 109.16 90.00 90.00
Positions (direct):
1 Na 0.500 0.000 0.500
2 Na 0.000 0.500 0.500
3 Ca 0.500 0.500 0.000
4 Pu 0.000 0.000 0.000
5 Te 0.500 0.235 0.231
6 Te 0.500 0.765 0.769
7 Te 0.000 0.244 0.765
8 Te 0.000 0.756 0.235

Computed properties:
E_form (uncorrected)   -1078 meV/atom
Symmetry   P2/m (10)